Below is crystalline Er8Tm2Zr at its relaxed geometry, with properties calculated at the PBE level.

a = 6.4955 Å, b = 9.8781 Å, c = 9.8781 Å
α = 37.78°, β = 61.27°, γ = 61.27°
Sites, in units of the cell vectors:
Er: 0.2289 0.3361 0.8247
Er: 0.7711 0.1753 0.6639
Er: 0.1518 0.7534 0.7534
Er: 0.8482 0.2466 0.2466
Er: 0.2289 0.8247 0.3361
Er: 0.7711 0.6639 0.1753
Er: 0.7281 0.5931 0.5931
Er: 0.2719 0.4069 0.4069
Tm: 0.5461 0.8143 0.8143
Tm: 0.4539 0.1857 0.1857
Zr: 0.0000 0.0000 0.0000

## Properties
relative energy among the computed polymorphs = 172 meV/atom
magnetization = 0.00 μB per formula unit
space-group type = C2/m
N(E_F) = 17.9 states/eV per cell